(1)
A relaxed LiNi4Sn crystal, computed with GGA-PBE.

CIF file:
```
data_LiNi4Sn
_chemical_formula_sum 'Li1 Ni4 Sn1'
_symmetry_space_group_name_H-M 'P 1'
_symmetry_Int_Tables_number 1
_symmetry_space_group_name_Hall 'P 1'
_cell_length_a 4.124
_cell_length_b 4.124
_cell_length_c 5.187
_cell_angle_alpha 90.30
_cell_angle_beta 90.30
_cell_angle_gamma 119.99
loop_
_atom_site_label
_atom_site_type_symbol
_atom_site_fract_x
_atom_site_fract_y
_atom_site_fract_z
_atom_site_occupancy
Li1 Li 0.000 0.000 0.000 1
Ni1 Ni 0.331 0.664 0.239 1
Ni2 Ni 0.336 0.669 0.761 1
Ni3 Ni 0.664 0.331 0.239 1
Ni4 Ni 0.669 0.336 0.761 1
Sn1 Sn 0.000 0.000 0.500 1
```

Calculated values
DOS at the Fermi energy   1.1659 states/eV/atom
ΔH_f (0 K)   -0.04 eV/atom
Crystal system   monoclinic
Offset from the most stable computed form   98 meV per atom
Volume   12.7 Å³/atom

(2)
A relaxed AlCdOs2 crystal, computed with GGA-PBE.

CIF file:
```
data_AlCdOs2
_chemical_formula_sum 'Al1 Cd1 Os2'
_symmetry_space_group_name_H-M 'P 1'
_symmetry_Int_Tables_number 1
_symmetry_space_group_name_Hall 'P 1'
_cell_length_a 3.046
_cell_length_b 3.046
_cell_length_c 6.693
_cell_angle_alpha 90.00
_cell_angle_beta 90.00
_cell_angle_gamma 90.00
loop_
_atom_site_label
_atom_site_type_symbol
_atom_site_fract_x
_atom_site_fract_y
_atom_site_fract_z
_atom_site_occupancy
Al1 Al 0.000 0.000 0.000 1
Cd1 Cd 0.000 0.000 0.500 1
Os1 Os 0.500 0.500 0.209 1
Os2 Os 0.500 0.500 0.791 1
```

Calculated values
DOS at the Fermi energy   1.1212 states/eV/atom
ΔH_f (0 K)   0.28 eV/atom
Crystal system   tetragonal
Offset from the most stable computed form   185 meV per atom
Volume   15.5 Å³/atom

(3)
A relaxed CoReHPd2 crystal, computed with GGA-PBE.

CIF file:
```
data_CoReHPd2
_chemical_formula_sum 'Co1 Re1 H1 Pd2'
_symmetry_space_group_name_H-M 'P 1'
_symmetry_Int_Tables_number 1
_symmetry_space_group_name_Hall 'P 1'
_cell_length_a 4.855
_cell_length_b 4.855
_cell_length_c 2.787
_cell_angle_alpha 90.00
_cell_angle_beta 90.00
_cell_angle_gamma 90.00
loop_
_atom_site_label
_atom_site_type_symbol
_atom_site_fract_x
_atom_site_fract_y
_atom_site_fract_z
_atom_site_occupancy
Co1 Co 0.000 0.000 0.000 1
Re1 Re 0.500 0.500 0.500 1
H1 H 0.000 0.000 0.500 1
Pd1 Pd 0.000 0.500 0.000 1
Pd2 Pd 0.500 0.000 0.000 1
```

Calculated values
DOS at the Fermi energy   1.1618 states/eV/atom
Crystal system   tetragonal
Volume   13.1 Å³/atom
Total energy   -5.91 eV/atom

The highest volume belongs to which entry? AlCdOs2

Number 3 is which compound? CoReHPd2